# Mg2ZrPd | Alexandria | GGA-PBE | optimized geometry
data_Mg2ZrPd
_space_group_name_H-M_alt 'P 1'
_space_group_IT_number 1
_cell_length_a 4.731
_cell_length_b 4.731
_cell_length_c 4.731
_cell_angle_alpha 60.00
_cell_angle_beta 60.00
_cell_angle_gamma 60.00
loop_
_space_group_symop_operation_xyz
'x,y,z'
loop_
_atom_site_label
_atom_site_type_symbol
_atom_site_fract_x
_atom_site_fract_y
_atom_site_fract_z
Mg1 Mg 0.250 0.250 0.250
Mg2 Mg 0.750 0.750 0.750
Zr1 Zr 0.000 0.000 0.000
Pd1 Pd 0.500 0.500 0.500
# - symmetry = Fm-3m (225)
# - calculated density (kg/m3) = 5463
# - DFT total energy (eV per atom) = -4.38
# - volume (Å³ per cell) = 75


# Mg4ZrPd5 | Alexandria | GGA-PBE | optimized geometry
data_Mg4ZrPd5
_space_group_name_H-M_alt 'P 1'
_space_group_IT_number 1
_cell_length_a 3.171
_cell_length_b 3.171
_cell_length_c 16.578
_cell_angle_alpha 90.00
_cell_angle_beta 90.00
_cell_angle_gamma 90.00
loop_
_space_group_symop_operation_xyz
'x,y,z'
loop_
_atom_site_label
_atom_site_type_symbol
_atom_site_fract_x
_atom_site_fract_y
_atom_site_fract_z
Mg1 Mg 0.000 0.000 0.211
Mg2 Mg 0.000 0.000 0.404
Mg3 Mg 0.000 0.000 0.596
Mg4 Mg 0.000 0.000 0.789
Zr1 Zr 0.000 0.000 0.000
Pd1 Pd 0.500 0.500 0.112
Pd2 Pd 0.500 0.500 0.308
Pd3 Pd 0.500 0.500 0.500
Pd4 Pd 0.500 0.500 0.692
Pd5 Pd 0.500 0.500 0.888
# - symmetry = P4/mmm (123)
# - calculated density (kg/m3) = 7177
# - DFT total energy (eV per atom) = -4.80
# - volume (Å³ per cell) = 167


# MgZrPd3 | Alexandria | GGA-PBE | optimized geometry
data_MgZrPd3
_space_group_name_H-M_alt 'P 1'
_space_group_IT_number 1
_cell_length_a 4.579
_cell_length_b 4.579
_cell_length_c 4.579
_cell_angle_alpha 90.00
_cell_angle_beta 90.00
_cell_angle_gamma 90.00
loop_
_space_group_symop_operation_xyz
'x,y,z'
loop_
_atom_site_label
_atom_site_type_symbol
_atom_site_fract_x
_atom_site_fract_y
_atom_site_fract_z
Mg1 Mg 0.000 0.000 0.000
Zr1 Zr 0.500 0.500 0.500
Pd1 Pd 0.000 0.500 0.000
Pd2 Pd 0.000 0.000 0.500
Pd3 Pd 0.500 0.000 0.000
# - symmetry = Pm-3m (221)
# - calculated density (kg/m3) = 7520
# - volume (Å³ per cell) = 96
# - energy relative to the lowest polymorph listed for this composition (meV per atom) = 788


# Mg3ZrPd4 | Alexandria | GGA-PBE | optimized geometry
data_Mg3ZrPd4
_space_group_name_H-M_alt 'P 1'
_space_group_IT_number 1
_cell_length_a 3.192
_cell_length_b 3.192
_cell_length_c 13.211
_cell_angle_alpha 90.00
_cell_angle_beta 90.00
_cell_angle_gamma 90.00
loop_
_space_group_symop_operation_xyz
'x,y,z'
loop_
_atom_site_label
_atom_site_type_symbol
_atom_site_fract_x
_atom_site_fract_y
_atom_site_fract_z
Mg1 Mg 0.500 0.500 0.261
Mg2 Mg 0.500 0.500 0.500
Mg3 Mg 0.500 0.500 0.739
Pd1 Pd 0.000 0.000 0.862
Pd2 Pd 0.000 0.000 0.138
Pd3 Pd 0.000 0.000 0.380
Pd4 Pd 0.000 0.000 0.620
Zr1 Zr 0.500 0.500 0.000
# - symmetry = P4/mmm (123)
# - calculated density (kg/m3) = 7277
# - DFT total energy (eV per atom) = -4.97
# - volume (Å³ per cell) = 135


# MgZr2Pd8 | Alexandria | GGA-PBE | optimized geometry
data_MgZr2Pd8
_space_group_name_H-M_alt 'P 1'
_space_group_IT_number 1
_cell_length_a 4.547
_cell_length_b 5.978
_cell_length_c 7.812
_cell_angle_alpha 112.45
_cell_angle_beta 106.92
_cell_angle_gamma 90.00
loop_
_space_group_symop_operation_xyz
'x,y,z'
loop_
_atom_site_label
_atom_site_type_symbol
_atom_site_fract_x
_atom_site_fract_y
_atom_site_fract_z
Mg1 Mg 0.500 0.000 0.000
Zr1 Zr 0.811 0.312 0.623
Zr2 Zr 0.189 0.688 0.377
Pd1 Pd 0.359 0.593 0.719
Pd2 Pd 0.641 0.876 0.282
Pd3 Pd 0.823 0.823 0.646
Pd4 Pd 0.000 0.265 0.000
Pd5 Pd 0.177 0.177 0.354
Pd6 Pd 0.359 0.124 0.718
Pd7 Pd 0.641 0.407 0.281
Pd8 Pd 0.000 0.735 0.000
# - symmetry = C2/m (12)
# - calculated density (kg/m3) = 9432
# - DFT total energy (eV per atom) = -6.06
# - volume (Å³ per cell) = 186


# MgZr2Pd6 | Alexandria | GGA-PBE | optimized geometry
data_MgZr2Pd6
_space_group_name_H-M_alt 'P 1'
_space_group_IT_number 1
_cell_length_a 2.958
_cell_length_b 7.536
_cell_length_c 7.961
_cell_angle_alpha 118.25
_cell_angle_beta 89.99
_cell_angle_gamma 90.00
loop_
_space_group_symop_operation_xyz
'x,y,z'
loop_
_atom_site_label
_atom_site_type_symbol
_atom_site_fract_x
_atom_site_fract_y
_atom_site_fract_z
Mg1 Mg 0.000 0.000 0.000
Zr1 Zr 0.499 0.683 0.367
Zr2 Zr 0.501 0.317 0.633
Pd1 Pd 0.999 0.344 0.319
Pd2 Pd 0.001 0.025 0.681
Pd3 Pd 0.001 0.656 0.681
Pd4 Pd 0.500 0.315 0.000
Pd5 Pd 0.999 0.975 0.319
Pd6 Pd 0.500 0.685 0.000
# - symmetry = Cmmm (65)
# - calculated density (kg/m3) = 8980
# - DFT total energy (eV per atom) = -6.05
# - volume (Å³ per cell) = 156


# Mg2ZrPd | Alexandria | GGA-PBE | optimized geometry
data_Mg2ZrPd
_space_group_name_H-M_alt 'P 1'
_space_group_IT_number 1
_cell_length_a 7.821
_cell_length_b 7.821
_cell_length_c 6.180
_cell_angle_alpha 50.75
_cell_angle_beta 50.75
_cell_angle_gamma 90.00
loop_
_space_group_symop_operation_xyz
'x,y,z'
loop_
_atom_site_label
_atom_site_type_symbol
_atom_site_fract_x
_atom_site_fract_y
_atom_site_fract_z
Mg1 Mg 0.675 0.125 0.250
Mg2 Mg 0.075 0.625 0.250
Mg3 Mg 0.375 0.325 0.750
Mg4 Mg 0.875 0.925 0.750
Zr1 Zr 0.500 0.500 0.000
Zr2 Zr 0.250 0.750 0.500
Pd1 Pd 0.000 0.000 0.000
Pd2 Pd 0.750 0.250 0.500
# - symmetry = I-42d (122)
# - calculated density (kg/m3) = 4848
# - DFT total energy (eV per atom) = -4.23
# - volume (Å³ per cell) = 169


# MgZrPd3 | Alexandria | GGA-PBE | optimized geometry
data_MgZrPd3
_space_group_name_H-M_alt 'P 1'
_space_group_IT_number 1
_cell_length_a 5.485
_cell_length_b 10.079
_cell_length_c 6.958
_cell_angle_alpha 116.08
_cell_angle_beta 90.00
_cell_angle_gamma 90.00
loop_
_space_group_symop_operation_xyz
'x,y,z'
loop_
_atom_site_label
_atom_site_type_symbol
_atom_site_fract_x
_atom_site_fract_y
_atom_site_fract_z
Mg1 Mg 0.846 0.569 0.393
Mg2 Mg 0.154 0.431 0.607
Mg3 Mg 0.346 0.931 0.107
Mg4 Mg 0.654 0.069 0.893
Zr1 Zr 0.165 0.330 0.960
Zr2 Zr 0.835 0.670 0.040
Zr3 Zr 0.665 0.170 0.540
Zr4 Zr 0.335 0.830 0.460
Pd1 Pd 0.912 0.265 0.255
Pd2 Pd 0.088 0.735 0.745
Pd3 Pd 0.412 0.235 0.245
Pd4 Pd 0.588 0.765 0.755
Pd5 Pd 0.358 0.540 0.352
Pd6 Pd 0.642 0.460 0.648
Pd7 Pd 0.858 0.960 0.148
Pd8 Pd 0.142 0.040 0.852
Pd9 Pd 0.830 0.879 0.494
Pd10 Pd 0.170 0.121 0.506
Pd11 Pd 0.330 0.621 0.006
Pd12 Pd 0.670 0.379 0.994
# - symmetry = P2_1/c (14)
# - calculated density (kg/m3) = 8360
# - volume (Å³ per cell) = 345
# - energy relative to the lowest polymorph listed for this composition (meV per atom) = 0


# MgZrPd2 | Alexandria | GGA-PBE | optimized geometry
data_MgZrPd2
_space_group_name_H-M_alt 'P 1'
_space_group_IT_number 1
_cell_length_a 7.208
_cell_length_b 7.208
_cell_length_c 5.884
_cell_angle_alpha 52.23
_cell_angle_beta 52.23
_cell_angle_gamma 90.00
loop_
_space_group_symop_operation_xyz
'x,y,z'
loop_
_atom_site_label
_atom_site_type_symbol
_atom_site_fract_x
_atom_site_fract_y
_atom_site_fract_z
Mg1 Mg 0.500 0.500 0.000
Mg2 Mg 0.250 0.750 0.500
Zr1 Zr 0.000 0.000 0.000
Zr2 Zr 0.750 0.250 0.500
Pd1 Pd 0.620 0.125 0.250
Pd2 Pd 0.130 0.625 0.250
Pd3 Pd 0.375 0.380 0.750
Pd4 Pd 0.875 0.870 0.750
# - symmetry = I-42d (122)
# - calculated density (kg/m3) = 7139
# - DFT total energy (eV per atom) = -5.37
# - volume (Å³ per cell) = 153


# Mg2ZrPd2 | Alexandria | GGA-PBE | optimized geometry
data_Mg2ZrPd2
_space_group_name_H-M_alt 'P 1'
_space_group_IT_number 1
_cell_length_a 7.808
_cell_length_b 7.808
_cell_length_c 2.899
_cell_angle_alpha 90.00
_cell_angle_beta 90.00
_cell_angle_gamma 90.00
loop_
_space_group_symop_operation_xyz
'x,y,z'
loop_
_atom_site_label
_atom_site_type_symbol
_atom_site_fract_x
_atom_site_fract_y
_atom_site_fract_z
Mg1 Mg 0.375 0.875 0.000
Mg2 Mg 0.875 0.625 0.000
Mg3 Mg 0.625 0.125 0.000
Mg4 Mg 0.125 0.375 0.000
Zr1 Zr 0.000 0.000 0.000
Zr2 Zr 0.500 0.500 0.000
Pd1 Pd 0.174 0.674 0.500
Pd2 Pd 0.674 0.826 0.500
Pd3 Pd 0.826 0.326 0.500
Pd4 Pd 0.326 0.174 0.500
# - symmetry = P4/mbm (127)
# - calculated density (kg/m3) = 6626
# - volume (Å³ per cell) = 177
# - energy relative to the lowest polymorph listed for this composition (meV per atom) = 24


# MgZr2Pd3 | Alexandria | GGA-PBE | optimized geometry
data_MgZr2Pd3
_space_group_name_H-M_alt 'P 1'
_space_group_IT_number 1
_cell_length_a 4.661
_cell_length_b 4.661
_cell_length_c 11.541
_cell_angle_alpha 90.00
_cell_angle_beta 90.00
_cell_angle_gamma 120.00
loop_
_space_group_symop_operation_xyz
'x,y,z'
loop_
_atom_site_label
_atom_site_type_symbol
_atom_site_fract_x
_atom_site_fract_y
_atom_site_fract_z
Mg1 Mg 0.333 0.667 0.663
Mg2 Mg 0.667 0.333 0.337
Zr1 Zr 0.000 0.000 0.500
Zr2 Zr 0.333 0.667 0.172
Zr3 Zr 0.667 0.333 0.828
Zr4 Zr 0.000 0.000 0.000
Pd1 Pd 0.333 0.667 0.419
Pd2 Pd 0.667 0.333 0.093
Pd3 Pd 0.000 0.000 0.747
Pd4 Pd 0.000 0.000 0.253
Pd5 Pd 0.333 0.667 0.907
Pd6 Pd 0.667 0.333 0.581
# - symmetry = P-3m1 (164)
# - calculated density (kg/m3) = 8046
# - volume (Å³ per cell) = 217
# - energy relative to the lowest polymorph listed for this composition (meV per atom) = 0


# Mg2ZrPd2 | Alexandria | GGA-PBE | optimized geometry
data_Mg2ZrPd2
_space_group_name_H-M_alt 'P 1'
_space_group_IT_number 1
_cell_length_a 3.062
_cell_length_b 3.320
_cell_length_c 9.657
_cell_angle_alpha 80.10
_cell_angle_beta 90.00
_cell_angle_gamma 90.00
loop_
_space_group_symop_operation_xyz
'x,y,z'
loop_
_atom_site_label
_atom_site_type_symbol
_atom_site_fract_x
_atom_site_fract_y
_atom_site_fract_z
Mg1 Mg 0.000 0.178 0.643
Mg2 Mg 0.000 0.822 0.357
Zr1 Zr 0.000 0.000 0.000
Pd1 Pd 0.500 0.404 0.191
Pd2 Pd 0.500 0.596 0.809
# - symmetry = Cmmm (65)
# - calculated density (kg/m3) = 6056
# - volume (Å³ per cell) = 97
# - energy relative to the lowest polymorph listed for this composition (meV per atom) = 0